(1)
{"formula": "Ho5Pt2Au2", "functional": "PBE-GGA", "state": "relaxed", "cell": [[7.6874, 0.0000, 0.0000], [0.0000, 6.6171, -3.4016], [0.0000, 0.1601, 8.4483]], "species": ["Ho", "Ho", "Ho", "Ho", "Ho", "Ho", "Ho", "Ho", "Ho", "Ho", "Au", "Au", "Au", "Au", "Pt", "Pt", "Pt", "Pt"], "fractional_positions": [[0.3293, 0.9623, 0.2654], [0.1707, 0.4623, 0.2654], [0.6707, 0.0377, 0.7346], [0.8293, 0.5377, 0.7346], [0.5000, 0.5000, 0.0000], [0.6707, 0.3031, 0.2654], [0.8293, 0.8031, 0.2654], [0.3293, 0.6969, 0.7346], [0.1707, 0.1969, 0.7346], [0.0000, 0.0000, 0.0000], [0.0000, 0.7942, 0.5884], [0.5000, 0.2942, 0.5884], [0.0000, 0.2058, 0.4116], [0.5000, 0.7058, 0.4116], [0.3663, 0.1314, 0.0000], [0.6337, 0.8686, 0.0000], [0.8663, 0.3686, 0.0000], [0.1337, 0.6314, 0.0000]], "n_ef_per_ev_cell": 13.22, "ef_mev_per_atom": -992, "dft_energy_ev_per_atom": -5.61, "sg": "Cmce"}

---

(2)
{"formula": "Ho8PtAu2", "functional": "PBE-GGA", "state": "relaxed", "cell": [[-1.3862, 2.1350, -4.3861], [-5.6998, 2.2173, 2.8808], [6.3906, 5.4627, 3.5710]], "species": ["Pt", "Ho", "Ho", "Ho", "Ho", "Ho", "Ho", "Ho", "Ho", "Au", "Au"], "fractional_positions": [[0.5000, 0.0000, 0.0000], [0.3388, 0.0290, 0.6776], [0.2057, 0.3251, 0.4114], [0.9704, 0.2197, 0.9408], [0.0296, 0.7803, 0.0592], [0.6612, 0.9710, 0.3224], [0.5889, 0.4403, 0.1777], [0.4111, 0.5597, 0.8223], [0.7943, 0.6749, 0.5886], [0.8108, 0.2656, 0.6216], [0.1892, 0.7344, 0.3784]], "n_ef_per_ev_cell": 9.20, "ef_mev_per_atom": -564, "dft_energy_ev_per_atom": -5.04, "sg": "C2/m"}